Entry from Alexandria: a relaxed structure of PuZr2Ni (GGA-PBE).

abc: 3.249 3.249 7.625
angles: 90.00 90.00 90.00
Sites, in units of the cell vectors:
Pu 0.000 0.000 0.000
Zr 0.500 0.500 0.292
Zr 0.500 0.500 0.708
Ni 0.000 0.000 0.500

Symmetry = P4/mmm
Formation energy = -41.7 kJ/mol of formula units
E above lowest polymorph = 0.00 kcal/mol of atoms